# LiTcRu2, optimized geometry, DFT GGA-PBE
# * final energy: -7.54 eV/atom
# * relative energy among the computed polymorphs: 74.3 meV per atom
# * ΔH_f (0 K): 0.1729 eV/atom
data_LiTcRu2
_chemical_formula_sum 'Li1 Tc1 Ru2'
_space_group_name_H-M_alt 'P 4/m m m'
_space_group_IT_number 123
_space_group_name_Hall '-P 4 2'
_cell_length_a 2.962
_cell_length_b 2.962
_cell_length_c 5.979
_cell_angle_alpha 90.00
_cell_angle_beta 90.00
_cell_angle_gamma 90.00
loop_
_atom_site_label
_atom_site_fract_x
_atom_site_fract_y
_atom_site_fract_z
_atom_site_occupancy
Li1 0.000 0.000 0.000 1
Tc1 0.000 0.000 0.500 1
Ru1 0.500 0.500 0.229 1

# PmYNiRh, optimized geometry, DFT GGA-PBE
# * final energy: -6.67 eV/atom
# * relative energy among the computed polymorphs: 0.0 meV per atom
# * ΔH_f (0 K): -0.5838 eV/atom
data_PmYNiRh
_chemical_formula_sum 'Pm2 Y2 Ni2 Rh2'
_space_group_name_H-M_alt 'A m m 2'
_space_group_IT_number 38
_cell_length_a 4.136
_cell_length_b 3.891
_cell_length_c 10.754
_cell_angle_alpha 90.00
_cell_angle_beta 90.00
_cell_angle_gamma 90.00
loop_
_space_group_symop_operation_xyz
'x,y,z'
'-x,-y,z'
'-x,y,z'
'x,-y,z'
'x,y+1/2,z+1/2'
'-x,-y+1/2,z+1/2'
'-x,y+1/2,z+1/2'
'x,-y+1/2,z+1/2'
loop_
_atom_site_label
_atom_site_fract_x
_atom_site_fract_y
_atom_site_fract_z
_atom_site_occupancy
Pm1 0.000 0.000 0.000 1
Y1 0.500 0.000 0.718 1
Ni1 0.500 0.000 0.434 1
Rh1 0.000 0.000 0.279 1

# InRuPb4, optimized geometry, DFT GGA-PBE
# * final energy: -3.71 eV/atom
# * ΔH_f (0 K): 0.7619 eV/atom
data_InRuPb4
_chemical_formula_sum 'In4 Ru4 Pb16'
_space_group_name_H-M_alt 'F -4 3 m'
_space_group_IT_number 216
_space_group_name_Hall 'F -4 2 3'
_cell_length_a 8.933
_cell_length_b 8.933
_cell_length_c 8.933
_cell_angle_alpha 90.00
_cell_angle_beta 90.00
_cell_angle_gamma 90.00
loop_
_atom_site_label
_atom_site_fract_x
_atom_site_fract_y
_atom_site_fract_z
_atom_site_occupancy
In1 0.000 0.000 0.000 1
Ru1 0.250 0.250 0.250 1
Pb1 0.124 0.124 0.624 1

# TbGa2Ag3, optimized geometry, DFT GGA-PBE
# * final energy: -3.48 eV/atom
# * relative energy among the computed polymorphs: 0.0 meV per atom
# * ΔH_f (0 K): -0.2772 eV/atom
data_TbGa2Ag3
_chemical_formula_sum 'Tb4 Ga8 Ag12'
_space_group_name_H-M_alt 'C 1 2/m 1'
_space_group_IT_number 12
_cell_length_a 15.883
_cell_length_b 4.467
_cell_length_c 6.943
_cell_angle_alpha 90.00
_cell_angle_beta 108.04
_cell_angle_gamma 90.00
loop_
_space_group_symop_operation_xyz
'x,y,z'
'-x,-y,-z'
'-x,y,-z'
'x,-y,z'
'x+1/2,y+1/2,z'
'-x+1/2,-y+1/2,-z'
'-x+1/2,y+1/2,-z'
'x+1/2,-y+1/2,z'
loop_
_atom_site_label
_atom_site_fract_x
_atom_site_fract_y
_atom_site_fract_z
_atom_site_occupancy
Tb1 0.121 0.000 0.178 1
Ga1 0.012 0.500 0.822 1
Ga2 0.232 0.000 0.669 1
Ag1 0.067 0.000 0.692 1
Ag2 0.134 0.500 0.501 1
Ag3 0.191 0.500 0.927 1

# NbSnIr3, optimized geometry, DFT GGA-PBE
# * final energy: -6.34 eV/atom
# * relative energy among the computed polymorphs: 523.3 meV per atom
# * ΔH_f (0 K): 1.7922 eV/atom
data_NbSnIr3
_chemical_formula_sum 'Nb1 Sn1 Ir3'
_space_group_name_H-M_alt 'P m -3 m'
_space_group_IT_number 221
_space_group_name_Hall '-P 4 2 3'
_cell_length_a 4.769
_cell_length_b 4.769
_cell_length_c 4.769
_cell_angle_alpha 90.00
_cell_angle_beta 90.00
_cell_angle_gamma 90.00
loop_
_atom_site_label
_atom_site_fract_x
_atom_site_fract_y
_atom_site_fract_z
_atom_site_occupancy
Nb1 0.000 0.000 0.000 1
Sn1 0.500 0.500 0.500 1
Ir1 0.000 0.500 0.500 1

# BeFeRu2, optimized geometry, DFT GGA-PBE
# * final energy: -7.11 eV/atom
# * ΔH_f (0 K): 0.5770 eV/atom
data_BeFeRu2
_chemical_formula_sum 'Be4 Fe4 Ru8'
_space_group_name_H-M_alt 'I -4 2 d'
_space_group_IT_number 122
_space_group_name_Hall 'I -4 2bw'
_cell_length_a 6.183
_cell_length_b 6.183
_cell_length_c 5.229
_cell_angle_alpha 90.00
_cell_angle_beta 90.00
_cell_angle_gamma 90.00
loop_
_atom_site_label
_atom_site_fract_x
_atom_site_fract_y
_atom_site_fract_z
_atom_site_occupancy
Be1 0.000 0.000 0.000 1
Fe1 0.000 0.000 0.500 1
Ru1 0.230 0.250 0.125 1

# YHg2Rh, optimized geometry, DFT GGA-PBE
# * final energy: -3.57 eV/atom
# * ΔH_f (0 K): 0.0368 eV/atom
data_YHg2Rh
_chemical_formula_sum 'Y3 Hg6 Rh3'
_space_group_name_H-M_alt 'R -3 m'
_space_group_IT_number 166
_space_group_name_Hall '-R 3 2"'
_cell_length_a 3.4178
_cell_length_b 3.4178
_cell_length_c 26.8705
_cell_angle_alpha 90.00
_cell_angle_beta 90.00
_cell_angle_gamma 120.00
loop_
_atom_site_label
_atom_site_fract_x
_atom_site_fract_y
_atom_site_fract_z
_atom_site_occupancy
Y1 0.0000 0.0000 0.0000 1
Hg1 0.0000 0.0000 0.2412 1
Rh1 0.0000 0.0000 0.5000 1

# ScHgIr, optimized geometry, DFT GGA-PBE
# * final energy: -5.46 eV/atom
# * relative energy among the computed polymorphs: 158.7 meV per atom
# * ΔH_f (0 K): -0.2972 eV/atom
data_ScHgIr
_chemical_formula_sum 'Sc4 Hg4 Ir4'
_space_group_name_H-M_alt 'F -4 3 m'
_space_group_IT_number 216
_space_group_name_Hall 'F -4 2 3'
_cell_length_a 6.408
_cell_length_b 6.408
_cell_length_c 6.408
_cell_angle_alpha 90.00
_cell_angle_beta 90.00
_cell_angle_gamma 90.00
loop_
_atom_site_label
_atom_site_fract_x
_atom_site_fract_y
_atom_site_fract_z
_atom_site_occupancy
Sc1 0.000 0.000 0.000 1
Hg1 0.000 0.000 0.500 1
Ir1 0.250 0.250 0.250 1

# Na3Ga9Ge2, optimized geometry, DFT GGA-PBE
# * final energy: -2.97 eV/atom
# * ΔH_f (0 K): -0.0831 eV/atom
data_Na3Ga9Ge2
_chemical_formula_sum 'Na6 Ga18 Ge4'
_space_group_name_H-M_alt 'I m m m'
_space_group_IT_number 71
_space_group_name_Hall '-I 2 2'
_cell_length_a 4.415
_cell_length_b 10.183
_cell_length_c 12.698
_cell_angle_alpha 90.00
_cell_angle_beta 90.00
_cell_angle_gamma 90.00
loop_
_atom_site_label
_atom_site_fract_x
_atom_site_fract_y
_atom_site_fract_z
_atom_site_occupancy
Na1 0.000 0.000 0.000 1
Na2 0.000 0.000 0.302 1
Ga1 0.000 0.277 0.154 1
Ga2 0.000 0.374 0.348 1
Ga3 0.000 0.500 0.000 1
Ge1 0.000 0.192 0.500 1